Entry 1:
# GGA-PBE LaTmMg, optimized geometry
data_LaTmMg
_chemical_formula_sum 'La4 Tm4 Mg4'
_cell_length_a 7.516
_cell_length_b 7.516
_cell_length_c 7.516
_cell_angle_alpha 90.00
_cell_angle_beta 90.00
_cell_angle_gamma 90.00
_space_group_name_H-M_alt 'F -4 3 m'
_space_group_IT_number 216
_space_group_name_Hall 'F -4 2 3'
loop_
_atom_site_label
_atom_site_fract_x
_atom_site_fract_y
_atom_site_fract_z
La1 0.000 0.000 0.000
Tm1 0.000 0.000 0.500
Mg1 0.250 0.250 0.250
# Energy above the most stable polymorph in this dataset in eV/atom: 0.000
# Crystal system: cubic


Entry 2:
# GGA-PBE Er3Cu4Si2Sn2, optimized geometry
data_Er3Cu4Si2Sn2
_chemical_formula_sum 'Er6 Cu8 Si4 Sn4'
_cell_length_a 4.201
_cell_length_b 6.827
_cell_length_c 14.093
_cell_angle_alpha 90.00
_cell_angle_beta 90.00
_cell_angle_gamma 90.00
_space_group_name_H-M_alt 'I m m m'
_space_group_IT_number 71
_space_group_name_Hall '-I 2 2'
loop_
_atom_site_label
_atom_site_fract_x
_atom_site_fract_y
_atom_site_fract_z
Er1 0.000 0.000 0.000
Er2 0.000 0.500 0.135
Cu1 0.000 0.310 0.318
Si1 0.000 0.000 0.216
Sn1 0.000 0.204 0.500
# Total energy in eV per atom: -4.8240
# Crystal system: orthorhombic